# 1
FeBr4: relaxed, PBE.

Output
magnetic moment	9.05	Bohr magnetons per cell
electronic total energy	-2.7803	eV/atom
ΔE_f (raw)	250.5	meV/atom
mass density	4.50	g cm⁻³

Lattice parameters (Å, degrees): 6.521 6.521 6.521 90.00 90.00 90.00
Space group Im-3m (No. 229)
Inequivalent atoms, fractional coordinates:
Fe: 0.000 0.000 0.000 (multiplicity 2)
Br: 0.250 0.250 0.250 (multiplicity 8)


# 2
Zr4InRu5: relaxed, PBE.

Output
magnetic moment	0.00	Bohr magnetons per cell
electronic total energy	-8.8824	eV/atom
mass density	9.36	g cm⁻³

Lattice parameters (Å, degrees): 3.281 3.281 16.238 90.00 90.00 90.00
Space group P4/mmm (No. 123)
Inequivalent atoms, fractional coordinates:
Zr: 0.000 0.000 0.102 (multiplicity 2)
Zr: 0.000 0.000 0.305 (multiplicity 2)
In: 0.000 0.000 0.500 (multiplicity 1)
Ru: 0.500 0.500 0.000 (multiplicity 1)
Ru: 0.500 0.500 0.200 (multiplicity 2)
Ru: 0.500 0.500 0.398 (multiplicity 2)


# 3
ZnSi2IrO: relaxed, PBE.

Output
magnetic moment	0.00	Bohr magnetons per cell
electronic total energy	-4.4036	eV/atom
ΔE_f (raw)	784.2	meV/atom
mass density	6.94	g cm⁻³

Lattice parameters (Å, degrees): 4.809 4.809 3.412 90.00 90.00 90.00
Space group P4/mmm (No. 123)
Inequivalent atoms, fractional coordinates:
Zn: 0.000 0.000 0.000 (multiplicity 1)
Si: 0.000 0.500 0.000 (multiplicity 2)
Ir: 0.500 0.500 0.500 (multiplicity 1)
O: 0.000 0.000 0.500 (multiplicity 1)


# 4
Mn2AlHg: relaxed, PBE.

Output
magnetic moment	11.92	Bohr magnetons per cell
electronic total energy	-5.4585	eV/atom
distance to the lowest polymorph of the same formula	33.6	meV/atom
mass density	9.05	g cm⁻³

Lattice parameters (Å, degrees): 3.980 3.980 7.814 90.00 90.00 90.00
Space group I4/mmm (No. 139)
Inequivalent atoms, fractional coordinates:
Mn: 0.000 0.500 0.250 (multiplicity 4)
Al: 0.000 0.000 0.000 (multiplicity 2)
Hg: 0.000 0.000 0.500 (multiplicity 2)


# 5
AlVGa2: relaxed, PBE.

Output
magnetic moment	0.01	Bohr magnetons per cell
electronic total energy	-4.7863	eV/atom
mass density	5.88	g cm⁻³

Lattice parameters (Å, degrees): 3.412 3.412 5.272 90.00 90.00 90.00
Space group P4/mmm (No. 123)
Inequivalent atoms, fractional coordinates:
Al: 0.000 0.000 0.000 (multiplicity 1)
V: 0.000 0.000 0.500 (multiplicity 1)
Ga: 0.500 0.500 0.261 (multiplicity 2)


# 6
HoOsO: relaxed, PBE.

Output
magnetic moment	0.00	Bohr magnetons per cell
electronic total energy	-8.5427	eV/atom
ΔE_f (raw)	-1620.8	meV/atom
mass density	11.45	g cm⁻³

Lattice parameters (Å, degrees): 6.946 4.012 8.067 90.00 106.76 90.00
Space group C2/m (No. 12)
Inequivalent atoms, fractional coordinates:
Ho: 0.106 0.000 0.317 (multiplicity 4)
Os: 0.172 0.500 0.017 (multiplicity 4)
O: 0.202 0.000 0.606 (multiplicity 4)


What is the formula in the third record?
ZnSi2IrO